(1)
Here is an optimized crystal structure of Mg2Rh2W from Alexandria. Energies are from PBE-GGA.

Cell: 5.298 5.298 5.298 Å, 130.49 130.49 72.62°
Positions (direct):
Mg 0.138 0.138 0.000
Mg 0.862 0.862 0.000
Rh 0.250 0.750 0.500
Rh 0.750 0.250 0.500
W 0.500 0.500 0.000

Computed properties:
Energy above the most stable polymorph in this dataset in meV/atom: 665
DOS(E_F) in states/eV/f.u.: 3.47
Energy relative to the elements in eV/atom: 0.709
SG: No. 139

=====

(2)
Here is an optimized crystal structure of La4TmIn3 from Alexandria. Energies are from PBE-GGA.

Cell: 10.422 10.422 10.422 Å, 152.28 152.28 39.61°
Positions (direct):
La 0.130 0.630 0.500
La 0.370 0.870 0.500
La 0.630 0.130 0.500
La 0.870 0.370 0.500
Tm 0.000 0.000 0.000
In 0.251 0.251 0.000
In 0.500 0.500 0.000
In 0.749 0.749 0.000

Computed properties:
DOS(E_F) in states/eV/f.u.: 8.21
Energy relative to the elements in eV/atom: -0.364
SG: No. 139